ScBe2InH | GGA-PBE | optimized geometry

The total energy comes out at -3.59 eV per atom. The density of states at the Fermi level is 0.51 states/eV per atom. Its crystal system is tetragonal.

The structure belongs to space group P4/mmm (No. 123); the cell edges are 4.054, 4.054 and 4.139 Å and the angles 90.00°, 90.00° and 90.00°. The inequivalent atoms are Sc at (0.000, 0.000, 0.000), Be at (0.000, 0.500, 0.500), In at (0.500, 0.500, 0.000) and H at (0.500, 0.500, 0.500).